NbBiN2O | PBE | relaxed

```
NbBiN2O
1.0
4.1487 0.0000 0.0000
0.0000 4.1487 0.0000
0.0000 0.0000 3.9338
N O Nb Bi
2 1 1 1
Direct
0.5000 0.0000 0.5000
0.0000 0.5000 0.5000
0.5000 0.5000 0.0000
0.5000 0.5000 0.5000
0.0000 0.0000 0.0000
```

## Properties
Spin magnetization (μB per formula unit): 0.00
Total DFT energy (no corrections) (eV for the cell shown): -37.9